(1)
{"formula": "LiLaPdPb", "functional": "PBE-GGA", "state": "optimized geometry", "lattice": [[-0.230, 2.564, 4.348], [-4.445, 0.670, 2.306], [-0.999, -2.430, 4.316]], "species": ["Pd", "Pb", "La", "Li"], "fractional_positions": [[0.000, 0.000, 0.000], [0.250, 0.250, 0.250], [0.500, 0.500, 0.500], [0.750, 0.750, 0.750]], "magnetic_moment_mub_per_atom": 0.0000, "relative_energy_mev_per_atom": 204.6}

(2)
{"formula": "LiLaPdPb", "functional": "PBE-GGA", "state": "optimized geometry", "lattice": [[0.000, 3.640, 3.640], [3.640, 0.000, 3.640], [3.640, 3.640, 0.000]], "species": ["Pb", "Pd", "La", "Li"], "fractional_positions": [[0.500, 0.500, 0.500], [0.000, 0.000, 0.000], [0.250, 0.250, 0.250], [0.750, 0.750, 0.750]], "magnetic_moment_mub_per_atom": 0.0000, "relative_energy_mev_per_atom": 191.0}

(3)
{"formula": "LiLaPdPb", "functional": "PBE-GGA", "state": "optimized geometry", "lattice": [[-2.059, -3.334, 3.085], [-4.696, 0.615, 1.561], [-3.594, -3.037, -1.651]], "species": ["Pb", "Pd", "Li", "La"], "fractional_positions": [[0.500, 0.500, 0.500], [0.250, 0.250, 0.250], [0.750, 0.750, 0.750], [0.000, 0.000, 0.000]], "magnetic_moment_mub_per_atom": 0.0000, "relative_energy_mev_per_atom": 0.0}

(4)
{"formula": "Li3La2SmPb3", "functional": "PBE-GGA", "state": "optimized geometry", "lattice": [[4.877, 0.000, 0.000], [-2.438, 4.223, 0.000], [0.000, 0.000, 11.582]], "species": ["Li", "Li", "Li", "Pb", "Pb", "Pb", "La", "La", "Sm"], "fractional_positions": [[0.333, 0.667, 0.500], [0.667, 0.333, 0.184], [0.667, 0.333, 0.816], [0.333, 0.667, 0.838], [0.333, 0.667, 0.162], [0.667, 0.333, 0.500], [0.000, 0.000, 0.670], [0.000, 0.000, 0.330], [0.000, 0.000, 0.000]], "final_energy_ev_per_atom": -4.00, "magnetic_moment_mub_per_atom": 0.0010}

(5)
{"formula": "Li3LaSm2Pb3", "functional": "PBE-GGA", "state": "optimized geometry", "lattice": [[-4.641, -0.257, 1.281], [1.790, -3.117, -3.213], [2.778, -7.271, 8.602]], "species": ["Li", "Li", "Li", "Pb", "Pb", "Pb", "Sm", "Sm", "La"], "fractional_positions": [[0.667, 0.333, 0.500], [0.333, 0.667, 0.799], [0.333, 0.667, 0.201], [0.333, 0.667, 0.500], [0.667, 0.333, 0.181], [0.667, 0.333, 0.819], [0.000, 0.000, 0.339], [0.000, 0.000, 0.661], [0.000, 0.000, 0.000]], "final_energy_ev_per_atom": -3.99, "magnetic_moment_mub_per_atom": 0.0010}

(6)
{"formula": "LiLaPd", "functional": "PBE-GGA", "state": "optimized geometry", "lattice": [[0.000, 3.404, 3.404], [3.404, 0.000, 3.404], [3.404, 3.404, 0.000]], "species": ["La", "Pd", "Li"], "fractional_positions": [[0.250, 0.250, 0.250], [0.000, 0.000, 0.000], [0.750, 0.750, 0.750]], "magnetic_moment_mub_per_atom": 0.0006, "relative_energy_mev_per_atom": 0.0}

(7)
{"formula": "LiLaPd", "functional": "PBE-GGA", "state": "optimized geometry", "lattice": [[0.000, 3.414, 3.414], [3.414, 0.000, 3.414], [3.414, 3.414, 0.000]], "species": ["Pd", "La", "Li"], "fractional_positions": [[0.750, 0.750, 0.750], [0.000, 0.000, 0.000], [0.250, 0.250, 0.250]], "magnetic_moment_mub_per_atom": 0.0026, "relative_energy_mev_per_atom": 433.2}

(8)
{"formula": "LiLaSi2Pd", "functional": "PBE-GGA", "state": "optimized geometry", "lattice": [[-2.139, 0.740, 5.504], [-2.178, 5.289, 1.642], [-0.550, -3.837, -4.516]], "species": ["La", "Si", "Si", "Li", "Pd"], "fractional_positions": [[0.000, 0.000, 0.000], [0.385, 0.385, 0.000], [0.615, 0.615, 0.000], [0.250, 0.750, 0.500], [0.750, 0.250, 0.500]], "final_energy_ev_per_atom": -5.34, "magnetic_moment_mub_per_atom": 0.0004}